1.
PBE MgAg2Se, optimized geometry; total magnetization = 0.000 μB/atom; crystal system = trigonal
1.0
-0.629 -3.977 -8.366
0.705 -6.327 -6.759
-2.417 -5.956 -6.700
Ag Se Mg
2 1 1
Direct
0.501 0.501 0.501
0.999 0.999 0.999
0.750 0.750 0.750
0.250 0.250 0.250

2.
PBE MgAg2Se, optimized geometry; total magnetization = 0.000 μB/atom; crystal system = tetragonal
1.0
3.744 0.000 0.000
0.000 3.742 0.000
0.000 0.000 5.573
Mg Se Ag
1 1 2
Direct
0.500 0.500 0.250
0.500 0.500 0.750
0.000 0.000 0.494
0.000 0.000 0.006

3.
PBE MgAg2Se, optimized geometry; total magnetization = 0.000 μB/atom; crystal system = monoclinic
1.0
3.956 -0.151 0.276
2.124 3.341 0.276
1.516 0.795 6.632
Mg Ag Se
1 2 1
Direct
0.489 0.489 0.531
0.002 0.002 0.996
0.252 0.252 0.244
0.757 0.757 0.729

4.
PBE MgAg2Se, optimized geometry; total magnetization = 0.000 μB/atom; crystal system = orthorhombic
1.0
3.574 0.000 0.000
0.000 3.633 0.008
0.000 1.805 6.315
Se Mg Ag
1 1 2
Direct
0.500 0.971 0.683
0.000 0.548 0.528
0.500 0.191 0.243
0.000 0.790 0.045

Energy ordering: 4 at the bottom, the next structure 89 meV per atom above.

1.
PBE MgAg2Se2, optimized geometry; total magnetization = 0.000 μB/atom; crystal system = tetragonal
1.0
7.320 0.000 0.000
0.000 7.320 0.000
0.000 0.000 4.052
Se Mg Ag
4 2 4
Direct
0.320 0.820 0.000
0.680 0.180 0.000
0.820 0.680 0.000
0.180 0.320 0.000
0.000 0.000 0.000
0.500 0.500 0.000
0.863 0.363 0.500
0.363 0.137 0.500
0.137 0.637 0.500
0.637 0.863 0.500

2.
PBE MgAg2Se2, optimized geometry; total magnetization = 0.000 μB/atom; crystal system = tetragonal
1.0
3.869 0.000 0.000
0.000 3.869 0.000
1.935 1.935 7.228
Se Ag Mg
2 2 1
Direct
0.393 0.393 0.214
0.607 0.607 0.786
0.750 0.250 0.500
0.250 0.750 0.500
0.000 0.000 0.000

Energy ordering: 1 at the bottom, the next structure 56 meV per atom above.

1.
PBE MgSiAg2, optimized geometry; total magnetization = 0.000 μB/atom; crystal system = cubic
1.0
4.652 0.000 0.000
2.326 4.028 0.000
2.326 1.343 3.798
Si Mg Ag
1 1 2
Direct
0.750 0.750 0.750
0.500 0.500 0.500
0.250 0.250 0.250
0.000 0.000 0.000

2.
PBE MgSiAg2, optimized geometry; total magnetization = 0.000 μB/atom; crystal system = monoclinic
1.0
-1.612 -4.039 -0.920
1.449 -1.111 2.339
-3.844 0.656 3.854
Ag Si Mg
2 1 1
Direct
0.000 0.851 0.995
0.000 0.649 0.505
0.500 0.750 0.750
0.500 0.250 0.250

Energy ordering: 2 at the bottom, the next structure 57 meV per atom above.

1.
PBE MgSiAg2, optimized geometry; total magnetization = 0.000 μB/atom; crystal system = monoclinic
1.0
4.852 -0.088 0.102
3.851 2.952 0.102
0.829 0.273 4.799
Mg Ag Si
1 2 1
Direct
0.750 0.750 0.750
0.504 0.504 0.495
0.996 0.996 0.005
0.250 0.250 0.250

2.
PBE MgSiAg2, optimized geometry; total magnetization = 0.000 μB/atom; crystal system = tetragonal
1.0
5.067 -0.035 -0.017
1.784 4.743 0.017
-3.415 -2.369 2.898
Si Mg Ag
1 1 2
Direct
0.750 0.250 0.500
0.500 0.500 0.000
0.000 0.000 0.000
0.250 0.750 0.500

3.
PBE MgSiAg2, optimized geometry; total magnetization = 0.000 μB/atom; crystal system = tetragonal
1.0
-2.120 -2.641 0.497
2.159 -2.051 -1.687
2.792 -1.276 5.126
Ag Si Mg
2 1 1
Direct
0.000 0.000 0.505
0.000 0.000 0.995
0.500 0.500 0.750
0.500 0.500 0.250

4.
PBE MgSiAg2, optimized geometry; total magnetization = 0.000 μB/atom; crystal system = orthorhombic
1.0
2.883 0.385 0.000
-0.595 2.847 0.000
0.000 0.000 8.384
Si Mg Ag
1 1 2
Direct
0.500 0.500 0.750
0.500 0.500 0.250
0.000 0.000 0.503
0.000 0.000 0.997

Energy ordering: 1 at the bottom, the next structure 7 meV per atom above.

1.
PBE MgSiAg2, optimized geometry; total magnetization = 0.000 μB/atom; crystal system = tetragonal
1.0
3.442 0.000 0.000
0.000 3.442 0.000
0.000 0.000 5.956
Ag Si Mg
2 1 1
Direct
0.000 0.000 0.982
0.500 0.500 0.253
0.500 0.500 0.769
0.000 0.000 0.497

2.
PBE MgSiAg2, optimized geometry; total magnetization = 0.000 μB/atom; crystal system = monoclinic
1.0
-2.743 3.055 1.674
-2.256 -1.946 -0.144
-0.081 -2.719 4.831
Ag Si Mg
2 1 1
Direct
0.500 0.195 0.235
0.000 0.812 0.998
0.500 0.936 0.744
0.000 0.557 0.523

3.
PBE MgSiAg2, optimized geometry; total magnetization = 0.000 μB/atom; crystal system = tetragonal
1.0
4.133 0.000 0.000
0.000 4.133 0.000
0.000 0.000 4.051
Ag Mg Si
2 1 1
Direct
0.000 0.000 0.000
0.500 0.500 0.000
0.500 0.000 0.500
0.000 0.500 0.500

Energy ordering: 3 at the bottom, the next structure 5 meV per atom above.

1.
PBE MgSiAg2, optimized geometry; total magnetization = 0.000 μB/atom; crystal system = monoclinic
1.0
-2.340 -3.198 -3.935
3.079 -2.532 3.911
-1.897 -1.691 1.453
Ag Si Mg
2 1 1
Direct
0.000 0.000 0.000
0.500 0.500 0.000
0.000 0.500 0.500
0.500 0.000 0.500

2.
PBE MgSiAg2, optimized geometry; total magnetization = 0.000 μB/atom; crystal system = trigonal
1.0
9.274 0.026 0.016
8.784 2.975 0.016
8.784 1.460 2.592
Si Ag Mg
1 2 1
Direct
0.750 0.750 0.750
0.497 0.497 0.497
0.003 0.003 0.003
0.250 0.250 0.250

3.
PBE MgSiAg2, optimized geometry; total magnetization = 0.000 μB/atom; crystal system = tetragonal
1.0
-3.935 1.091 0.631
-0.992 -3.957 0.654
-0.745 -0.389 9.557
Si Ag Mg
2 4 2
Direct
0.750 0.250 0.500
0.000 0.000 0.000
0.106 0.625 0.250
0.375 0.356 0.750
0.644 0.125 0.250
0.875 0.894 0.750
0.500 0.500 0.000
0.250 0.750 0.500

Energy ordering: 1 at the bottom, the next structure 16 meV per atom above.

1.
PBE MgSiAg3, optimized geometry; total magnetization = 0.000 μB/atom; crystal system = cubic
1.0
-1.106 0.745 4.605
-3.352 -3.419 -0.252
3.245 -3.277 1.309
Ag Mg Si
3 1 1
Direct
0.000 0.000 0.500
0.000 0.500 0.000
0.500 0.000 0.000
0.500 0.500 0.500
0.000 0.000 0.000

2.
PBE MgSiAg3, optimized geometry; total magnetization = 0.000 μB/atom; crystal system = cubic
1.0
4.883 0.000 0.000
0.000 4.883 0.000
0.000 0.000 4.883
Ag Si Mg
3 1 1
Direct
0.000 0.500 0.000
0.000 0.000 0.500
0.500 0.000 0.000
0.500 0.500 0.500
0.000 0.000 0.000

Energy ordering: 1 at the bottom, the next structure 621 meV per atom above.

1.
PBE Mg2Si2Ag, optimized geometry; total magnetization = 0.000 μB/atom; crystal system = tetragonal
1.0
6.782 0.000 0.000
0.000 6.782 0.000
0.000 0.000 3.990
Si Mg Ag
4 4 2
Direct
0.123 0.377 0.000
0.877 0.623 0.000
0.377 0.877 0.000
0.623 0.123 0.000
0.823 0.323 0.500
0.677 0.823 0.500
0.323 0.177 0.500
0.177 0.677 0.500
0.000 0.000 0.000
0.500 0.500 0.000

2.
PBE Mg2Si2Ag, optimized geometry; total magnetization = 0.000 μB/atom; crystal system = tetragonal
1.0
8.149 0.000 0.000
0.000 8.149 0.000
0.000 0.000 2.833
Ag Mg Si
2 4 4
Direct
0.000 0.000 0.000
0.500 0.500 0.000
0.134 0.366 0.000
0.366 0.866 0.000
0.634 0.134 0.000
0.866 0.634 0.000
0.667 0.833 0.500
0.167 0.667 0.500
0.833 0.333 0.500
0.333 0.167 0.500

Energy ordering: 1 at the bottom, the next structure 232 meV per atom above.

1.
PBE Mg2TaSiAg, optimized geometry; total magnetization = 0.000 μB/atom; crystal system = tetragonal
1.0
4.841 0.000 0.000
0.000 4.665 0.000
0.000 0.000 4.841
Ta Ag Mg Si
1 1 2 1
Direct
0.500 0.500 0.500
0.000 0.500 0.000
0.000 0.000 0.500
0.500 0.000 0.000
0.000 0.000 0.000

2.
PBE Mg2TaSiAg, optimized geometry; total magnetization = 0.271 μB/atom; crystal system = tetragonal
1.0
5.396 0.000 0.000
0.000 4.854 0.000
0.000 0.000 5.396
Ag Mg Ta Si
1 2 1 1
Direct
0.500 0.500 0.500
0.000 0.000 0.500
0.500 0.000 0.000
0.000 0.000 0.000
0.000 0.500 0.000

Energy ordering: 1 at the bottom, the next structure 41 meV per atom above.

1.
PBE Sm3MgAg, optimized geometry; total magnetization = 0.000 μB/atom; crystal system = monoclinic
1.0
-7.028 -1.166 -0.621
-4.337 -1.260 5.545
-2.271 13.484 1.197
Sm Ag Mg
12 4 4
Direct
0.370 0.986 0.604
0.080 0.081 0.882
0.014 0.630 0.896
0.920 0.919 0.118
0.167 0.533 0.307
0.986 0.370 0.104
0.080 0.080 0.382
0.467 0.833 0.193
0.533 0.167 0.807
0.630 0.014 0.396
0.920 0.920 0.618
0.833 0.467 0.693
0.665 0.335 0.250
0.335 0.665 0.750
0.000 0.500 0.500
0.500 0.000 0.000
0.578 0.591 0.925
0.591 0.578 0.425
0.409 0.422 0.575
0.422 0.409 0.075

2.
PBE Sm3MgAg, optimized geometry; total magnetization = 0.000 μB/atom; crystal system = orthorhombic
1.0
-3.949 3.381 0.951
-3.508 -3.737 -1.282
-2.260 -1.377 10.195
Ag Sm Mg
2 6 2
Direct
0.985 0.250 0.679
0.663 0.750 0.321
0.887 0.750 0.873
0.573 0.250 0.501
0.075 0.750 0.499
0.383 0.250 0.882
0.265 0.750 0.118
0.761 0.250 0.127
0.170 0.250 0.308
0.478 0.750 0.692

Energy ordering: 2 at the bottom, the next structure 65 meV per atom above.